Density functional theory data (meta-GGA SCAN) for Ag3As2O8 at its PBEsol-relaxed geometry.

Cell: 5.858 5.858 5.858 Å, 85.20 85.20 85.20°
Positions (direct):
1 O 0.132 0.843 0.240
2 O 0.643 0.658 0.292
3 O 0.240 0.132 0.843
4 O 0.843 0.240 0.132
5 O 0.861 0.861 0.861
6 O 0.658 0.292 0.643
7 O 0.292 0.643 0.658
8 O 0.321 0.321 0.321
9 As 0.489 0.489 0.489
10 As 0.012 0.012 0.012
11 Ag 0.249 0.992 0.519
12 Ag 0.519 0.249 0.992
13 Ag 0.992 0.519 0.249

## Properties
* V: 15.31 A^3/atom
* formation energy from raw total energies: -0.6859 eV/atom


Density functional theory data (meta-GGA SCAN) for LaIrRu2 at its PBEsol-relaxed geometry.

Cell: 2.788 3.739 6.660 Å, 90.00 90.00 90.00°
Positions (direct):
1 Ru 0.500 0.500 0.244
2 Ru 0.000 0.000 0.063
3 Ir 0.000 0.000 0.445
4 La 0.500 0.500 0.749

## Properties
* energy above the lowest structure with this stoichiometry: 0.000 eV per atom
* V: 17.36 A^3/atom
* ΔH_f (0 K): 141 meV per atom


Density functional theory data (meta-GGA SCAN) for AcTlRh2 at its PBEsol-relaxed geometry.

Cell: 4.871 4.871 4.871 Å, 60.00 60.00 60.00°
Positions (direct):
1 Tl 0.000 0.000 0.000
2 Rh 0.250 0.250 0.250
3 Rh 0.750 0.750 0.750
4 Ac 0.500 0.500 0.500

## Properties
* V: 20.44 A^3/atom
* ΔH_f (0 K): -333 meV per atom


Density functional theory data (meta-GGA SCAN) for Li4Ti3Ni3Sb2O16 at its PBEsol-relaxed geometry.

Cell: 5.880 5.852 9.636 Å, 90.29 90.00 120.16°
Positions (direct):
1 Ti 0.657 0.821 0.786
2 Ti 0.825 0.650 0.283
3 Ti 0.164 0.821 0.786
4 O 0.479 0.958 0.661
5 O 0.525 0.492 0.148
6 O 0.665 0.826 0.403
7 O 0.675 0.350 0.398
8 O 0.997 0.994 0.698
9 O 0.491 0.528 0.656
10 O 0.036 0.528 0.656
11 O 0.828 0.655 0.896
12 O 0.348 0.695 0.899
13 O 0.328 0.157 0.900
14 O 0.996 0.992 0.202
15 O 0.160 0.320 0.408
16 O 0.161 0.826 0.403
17 O 0.967 0.492 0.148
18 O 0.829 0.157 0.900
19 O 0.517 0.033 0.158
20 Sb 0.329 0.657 0.505
21 Sb 0.658 0.315 0.016
22 Ni 0.832 0.177 0.287
23 Ni 0.177 0.354 0.788
24 Ni 0.345 0.177 0.287
25 Li 0.000 0.001 0.505
26 Li 0.335 0.671 0.106
27 Li 0.665 0.330 0.594
28 Li 0.013 0.025 0.017

## Properties
* V: 10.24 A^3/atom
* formation energy from raw total energies: -2.2582 eV/atom


Density functional theory data (meta-GGA SCAN) for Al2ReSb at its PBEsol-relaxed geometry.

Cell: 3.302 3.303 6.112 Å, 90.00 90.04 90.00°
Positions (direct):
1 Al 0.000 0.000 0.791
2 Al 0.000 0.000 0.209
3 Sb 0.500 0.500 0.500
4 Re 0.500 0.500 0.000

## Properties
* V: 16.67 A^3/atom
* formation energy from raw total energies: 0.0273 eV/atom


Density functional theory data (meta-GGA SCAN) for YH2NCl at its PBEsol-relaxed geometry.

Cell: 3.522 3.522 5.259 Å, 90.00 90.00 90.00°
Positions (direct):
1 H 0.500 0.000 0.000
2 H 0.000 0.500 0.000
3 Cl 0.000 0.000 0.500
4 N 0.000 0.000 0.000
5 Y 0.500 0.500 0.500

## Properties
* V: 13.05 A^3/atom


Density functional theory data (meta-GGA SCAN) for EuSiPt2 at its PBEsol-relaxed geometry.

Cell: 3.932 5.518 7.001 Å, 90.00 90.00 110.87°
Positions (direct):
1 Pt 0.650 0.301 0.553
2 Pt 0.650 0.301 0.947
3 Pt 0.350 0.699 0.053
4 Pt 0.350 0.699 0.447
5 Si 0.772 0.545 0.250
6 Si 0.228 0.455 0.750
7 Eu 0.945 0.890 0.750
8 Eu 0.055 0.110 0.250

## Properties
* V: 17.74 A^3/atom
* formation energy from raw total energies: -1.0350 eV/atom


Density functional theory data (meta-GGA SCAN) for TlFeRu at its PBEsol-relaxed geometry.

Cell: 2.893 2.893 6.467 Å, 90.00 90.00 120.00°
Positions (direct):
1 Fe 0.000 0.000 0.977
2 Tl 0.667 0.333 0.328
3 Ru 0.333 0.667 0.695

## Properties
* V: 15.63 A^3/atom
* ΔH_f (0 K): 611 meV per atom


Density functional theory data (meta-GGA SCAN) for LiNiSb2 at its PBEsol-relaxed geometry.

Cell: 3.162 3.162 7.546 Å, 90.00 90.00 90.00°
Positions (direct):
1 Sb 0.000 0.000 0.283
2 Sb 0.000 0.000 0.717
3 Ni 0.500 0.500 0.500
4 Li 0.500 0.500 0.000

## Properties
* energy above the lowest structure with this stoichiometry: 0.029 eV per atom
* V: 18.87 A^3/atom
* formation energy from raw total energies: -0.1071 eV/atom


Density functional theory data (meta-GGA SCAN) for TaCoB2 at its PBEsol-relaxed geometry.

Cell: 3.565 3.565 7.194 Å, 104.35 104.35 90.00°
Positions (direct):
1 B 0.625 0.375 0.750
2 B 0.625 0.375 0.250
3 B 0.125 0.375 0.750
4 B 0.625 0.875 0.250
5 Ta 0.000 0.000 0.000
6 Ta 0.250 0.750 0.500
7 Co 0.750 0.250 0.500
8 Co 0.500 0.500 0.000

## Properties
* V: 10.70 A^3/atom
* ΔH_f (0 K): 141 meV per atom


Density functional theory data (meta-GGA SCAN) for ZrCdAg2 at its PBEsol-relaxed geometry.

Cell: 3.055 3.516 6.932 Å, 90.00 90.00 90.00°
Positions (direct):
1 Ag 0.000 0.000 0.016
2 Ag 0.500 0.500 0.243
3 Cd 0.000 0.000 0.478
4 Zr 0.500 0.500 0.763

## Properties
* V: 18.62 A^3/atom
* ΔH_f (0 K): -66 meV per atom


Density functional theory data (meta-GGA SCAN) for ZrTi3 at its PBEsol-relaxed geometry.

Cell: 4.699 5.967 5.967 Å, 120.00 90.00 90.00°
Positions (direct):
1 Zr 0.750 0.333 0.667
2 Zr 0.250 0.667 0.333
3 Ti 0.750 0.839 0.161
4 Ti 0.250 0.161 0.321
5 Ti 0.750 0.321 0.161
6 Ti 0.250 0.161 0.839
7 Ti 0.250 0.679 0.839
8 Ti 0.750 0.839 0.679

## Properties
* V: 18.11 A^3/atom
* ΔH_f (0 K): 45 meV per atom


Density functional theory data (meta-GGA SCAN) for CaZrAg at its PBEsol-relaxed geometry.

Cell: 4.719 4.719 4.719 Å, 60.00 60.00 60.00°
Positions (direct):
1 Zr 0.000 0.000 0.000
2 Ag 0.500 0.500 0.500
3 Ca 0.250 0.250 0.250

## Properties
* V: 24.77 A^3/atom
* ΔH_f (0 K): 1064 meV per atom


Density functional theory data (meta-GGA SCAN) for CdSi2Ni at its PBEsol-relaxed geometry.

Cell: 2.909 4.684 4.684 Å, 111.57 90.00 90.00°
Positions (direct):
1 Si 0.000 0.500 0.000
2 Si 0.000 0.000 0.500
3 Cd 0.500 0.000 0.000
4 Ni 0.500 0.500 0.500

## Properties
* V: 14.83 A^3/atom
* formation energy from raw total energies: 0.4901 eV/atom


Density functional theory data (meta-GGA SCAN) for Ta2ZnOs at its PBEsol-relaxed geometry.

Cell: 2.959 4.700 4.700 Å, 107.45 90.00 90.00°
Positions (direct):
1 Zn 0.500 0.000 0.000
2 Ta 0.000 0.000 0.500
3 Ta 0.000 0.500 0.000
4 Os 0.500 0.500 0.500

## Properties
* V: 15.59 A^3/atom
* ΔH_f (0 K): -190 meV per atom


Density functional theory data (meta-GGA SCAN) for KFeSe at its PBEsol-relaxed geometry.

Cell: 3.417 3.417 6.294 Å, 105.75 105.75 90.00°
Positions (direct):
1 Se 0.393 0.393 0.787
2 K 0.669 0.669 0.338
3 Fe 0.938 0.938 0.875

## Properties
* energy above the lowest structure with this stoichiometry: 0.000 eV per atom
* V: 22.63 A^3/atom
* formation energy from raw total energies: -0.0967 eV/atom


Density functional theory data (meta-GGA SCAN) for PuTe3 at its PBEsol-relaxed geometry.

Cell: 4.300 4.304 12.537 Å, 90.00 99.87 90.00°
Positions (direct):
1 Pu 0.830 0.750 0.660
2 Pu 0.170 0.250 0.340
3 Te 0.426 0.750 0.853
4 Te 0.702 0.750 0.405
5 Te 0.927 0.250 0.853
6 Te 0.298 0.250 0.595
7 Te 0.574 0.250 0.147
8 Te 0.073 0.750 0.147

## Properties
* V: 28.58 A^3/atom
* formation energy from raw total energies: -0.6600 eV/atom


Density functional theory data (meta-GGA SCAN) for TcRhO2 at its PBEsol-relaxed geometry.

Cell: 2.703 2.703 6.816 Å, 78.56 78.56 60.00°
Positions (direct):
1 Tc 0.500 0.500 0.500
2 Rh 0.000 0.000 0.000
3 O 0.900 0.900 0.299
4 O 0.100 0.100 0.701

## Properties
* V: 10.50 A^3/atom
* formation energy from raw total energies: -1.0043 eV/atom


Density functional theory data (meta-GGA SCAN) for CaIn2Pt at its PBEsol-relaxed geometry.

Cell: 4.909 4.909 4.909 Å, 60.00 60.00 60.00°
Positions (direct):
1 Ca 0.500 0.500 0.500
2 Pt 0.250 0.250 0.250
3 In 0.000 0.000 0.000
4 In 0.750 0.750 0.750

## Properties
* V: 20.92 A^3/atom
* ΔH_f (0 K): -486 meV per atom


Density functional theory data (meta-GGA SCAN) for Li4VP6H8O22 at its PBEsol-relaxed geometry.

Cell: 6.882 7.239 8.795 Å, 91.88 75.04 89.81°
Positions (direct):
1 O 0.472 0.244 0.666
2 O 0.528 0.756 0.334
3 O 0.775 0.040 0.554
4 O 0.200 0.258 0.321
5 O 0.948 0.552 0.217
6 O 0.379 0.770 0.623
7 O 0.440 0.007 0.172
8 O 0.062 0.960 0.218
9 O 0.052 0.448 0.783
10 O 0.590 0.333 0.907
11 O 0.560 0.993 0.828
12 O 0.410 0.667 0.093
13 O 0.243 0.185 0.932
14 O 0.800 0.742 0.679
15 O 0.938 0.040 0.782
16 O 0.621 0.230 0.377
17 O 0.225 0.960 0.446
18 O 0.183 0.613 0.440
19 O 0.817 0.387 0.560
20 O 0.178 0.760 0.906
21 O 0.757 0.815 0.068
22 O 0.822 0.240 0.094
23 H 0.088 0.344 0.841
24 H 0.899 0.438 0.169
25 H 0.273 0.728 0.973
26 H 0.912 0.656 0.159
27 H 0.727 0.272 0.027
28 H 0.734 0.222 0.206
29 H 0.101 0.562 0.831
30 H 0.266 0.778 0.794
31 P 0.784 0.945 0.715
32 P 0.320 0.764 0.473
33 P 0.539 0.802 0.153
34 P 0.216 0.055 0.285
35 P 0.461 0.198 0.847
36 P 0.680 0.236 0.527
37 Li 0.119 0.376 0.545
38 Li 0.775 0.505 0.777
39 Li 0.225 0.495 0.223
40 Li 0.881 0.624 0.455
41 V 0.000 0.000 0.000

## Properties
* V: 10.32 A^3/atom


Density functional theory data (meta-GGA SCAN) for CuAs2P at its PBEsol-relaxed geometry.

Cell: 3.622 3.622 9.923 Å, 90.00 90.00 90.00°
Positions (direct):
1 As 0.000 0.000 0.000
2 As 0.500 0.000 0.684
3 As 0.000 0.500 0.316
4 As 0.500 0.500 0.000
5 P 0.500 0.000 0.241
6 P 0.000 0.500 0.759
7 Cu 0.500 0.500 0.500
8 Cu 0.000 0.000 0.500

## Properties
* V: 16.27 A^3/atom
* ΔH_f (0 K): 428 meV per atom


| no. | E (eV/atom) |
| --- | --- |
| 1 | -14.87 |
| 2 | -45.82 |
| 3 | -57.93 |
| 4 | -12.27 |
| 5 | -30.94 |
| 6 | -9.81 |
| 7 | -52.06 |
| 8 | -41.16 |
| 9 | -23.38 |
| 10 | -24.55 |
| 11 | -31.03 |
| 12 | -19.65 |
| 13 | -22.85 |
| 14 | -16.16 |
| 15 | -54.83 |
| 16 | -15.61 |
| 17 | -56.13 |
| 18 | -21.33 |
| 19 | -37.14 |
| 20 | -8.26 |
| 21 | -16.07 |